No. 1
The following is a PBE calculation of TlSiTc2 after structural relaxation, from Alexandria.

Summary:
ΔE to the lowest computed polymorph = 0.4979 eV per atom
energy = -6.4967 eV/atom

abc: 4.1264 4.1264 18.0265
angles: 90.00 90.00 90.00
Last column: nearest neighbours and their distance in Å.
Space group I-42d (No. 122)
Inequivalent atoms, fractional coordinates:
Tl  0.0000  0.0000  0.0000 [4 per cell]  4 Tc 2.87, 4 Si 2.92
Si  0.0000  0.0000  0.5000 [4 per cell]  4 Tc 2.55
Tc  0.1483  0.2500  0.6250 [8 per cell]  2 Tc 2.40, 2 Si 2.55

No. 2
The following is a PBE calculation of PrCu6 after structural relaxation, from Alexandria.

Summary:
ΔE to the lowest computed polymorph = 0.8660 eV per atom
energy = -3.4571 eV/atom
E_form = 0.7367 eV per atom

abc: 5.4900 5.4900 5.4900
angles: 90.00 90.00 90.00
Last column: nearest neighbours and their distance in Å.
Space group Pm-3m (No. 221)
Inequivalent atoms, fractional coordinates:
Pr  0.0000  0.0000  0.0000 [1 per cell]  24 Cu 4.03
Cu  0.1976  0.5000  0.5000 [6 per cell]  5 Cu 2.17-2.35

No. 3
The following is a PBE calculation of U2Mn2S7 after structural relaxation, from Alexandria.

Summary:
energy = -7.2461 eV/atom

abc: 3.8585 13.0237 8.7370
angles: 90.00 90.00 90.00
Last column: nearest neighbours and their distance in Å.
Space group Imm2 (No. 44)
Inequivalent atoms, fractional coordinates:
U  0.0000  0.2376  0.0000 [4 per cell]  7 S 2.68-2.86
Mn  0.0000  0.0000  0.7326 [2 per cell]  7 S 2.54-2.75
Mn  0.0000  0.5000  0.6745 [2 per cell]  4 S 2.27-2.31
S  0.0000  0.0000  0.0296 [2 per cell]  2 Mn 2.31
S  0.0000  0.1197  0.5030 [4 per cell]  1 Mn 2.54, 2 U 2.68
S  0.0000  0.3272  0.7055 [4 per cell]  1 Mn 2.27
S  0.0000  0.3572  0.3040 [4 per cell]  2 Mn 2.75, 3 U 2.86-3.08

No. 4
The following is a PBE calculation of Pr8Ge5S after structural relaxation, from Alexandria.

Summary:
energy = -5.6047 eV/atom

abc: 9.1564 9.1564 9.2057
angles: 90.00 90.00 90.00
Last column: nearest neighbours and their distance in Å.
Space group I-4 (No. 82)
Inequivalent atoms, fractional coordinates:
Pr  0.0672  0.3107  0.4431 [8 per cell]  1 S 2.96, 2 Ge 3.02
Pr  0.0678  0.1844  0.8116 [8 per cell]  5 Ge 3.00-3.35
Ge  0.0000  0.5000  0.7500 [2 per cell]  8 Pr 3.01-3.37
Ge  0.1244  0.2517  0.1259 [8 per cell]  7 Pr 3.00-3.35
S  0.0000  0.0000  0.5000 [2 per cell]  4 Pr 2.96

No. 5
The following is a PBE calculation of Y2CdSe after structural relaxation, from Alexandria.

Summary:
ΔE to the lowest computed polymorph = 0.3854 eV per atom
energy = -4.9840 eV/atom

abc: 4.2696 4.2696 11.3867
angles: 90.00 90.00 90.00
Last column: nearest neighbours and their distance in Å.
Space group I-4m2 (No. 119)
Inequivalent atoms, fractional coordinates:
Y  0.0000  0.0000  0.0000 [2 per cell]  4 Se 3.02
Y  0.0000  0.5000  0.2500 [2 per cell]  4 Cd 3.02
Cd  0.0000  0.5000  0.7500 [2 per cell]  4 Y 3.02
Se  0.0000  0.0000  0.5000 [2 per cell]  4 Y 3.02

No. 6
The following is a PBE calculation of CuAu2Se2Br2 after structural relaxation, from Alexandria.

Summary:
energy = -3.0873 eV/atom

abc: 13.1350 3.7542 10.4490
angles: 90.00 123.27 90.00
Last column: nearest neighbours and their distance in Å.
Space group C2/m (No. 12)
Inequivalent atoms, fractional coordinates:
Cu  0.0000  0.0000  0.0000 [2 per cell]  2 Se 2.27
Au  0.0310  0.5000  0.7500 [4 per cell]  2 Se 2.53, 2 Br 2.61
Se  0.1016  0.0000  0.2592 [4 per cell]  1 Cu 2.27, 2 Au 2.53
Br  0.1701  0.0000  0.7525 [4 per cell]  2 Au 2.61

No. 7
The following is a PBE calculation of TeW3N after structural relaxation, from Alexandria.

Summary:
ΔE to the lowest computed polymorph = 3.1565 eV per atom
energy = -6.3120 eV/atom

abc: 4.8746 4.8746 4.8746
angles: 90.00 90.00 90.00
Last column: nearest neighbours and their distance in Å.
Space group Pm-3m (No. 221)
Inequivalent atoms, fractional coordinates:
Te  0.0000  0.0000  0.0000 [1 per cell]  6 W 2.44
W  0.0000  0.0000  0.5000 [3 per cell]  2 Te 2.44
N  0.5000  0.5000  0.5000 [1 per cell]  12 W 3.45

No. 8
The following is a PBE calculation of NbRuSeBr2 after structural relaxation, from Alexandria.

Summary:
ΔE to the lowest computed polymorph = 0.0819 eV per atom
energy = -4.4693 eV/atom

abc: 5.0507 5.0507 4.7733
angles: 90.00 90.00 90.00
Last column: nearest neighbours and their distance in Å.
Space group P4/mmm (No. 123)
Inequivalent atoms, fractional coordinates:
Nb  0.0000  0.0000  0.0000 [1 per cell]  8 Br 3.47, 4 Se 3.57
Ru  0.5000  0.5000  0.5000 [1 per cell]  2 Se 2.39, 4 Br 2.53
Se  0.5000  0.5000  0.0000 [1 per cell]  2 Ru 2.39
Br  0.0000  0.5000  0.5000 [2 per cell]  2 Ru 2.53

No. 9
The following is a PBE calculation of PuScGaRu after structural relaxation, from Alexandria.

Summary:
energy = -8.5454 eV/atom
E_form = -0.3038 eV per atom

abc: 6.7762 6.7762 6.7762
angles: 90.00 90.00 90.00
Last column: nearest neighbours and their distance in Å.
Space group F-43m (No. 216)
Inequivalent atoms, fractional coordinates:
Pu  0.0000  0.0000  0.0000 [4 per cell]  4 Ru 2.93, 4 Ga 2.93
Sc  0.0000  0.0000  0.5000 [4 per cell]  4 Ru 2.93, 4 Ga 2.93
Ga  0.2500  0.2500  0.2500 [4 per cell]  4 Sc 2.93, 4 Pu 2.93
Ru  0.2500  0.2500  0.7500 [4 per cell]  4 Sc 2.93, 4 Pu 2.93

No. 10
The following is a PBE calculation of HfTlRe2 after structural relaxation, from Alexandria.

Summary:
ΔE to the lowest computed polymorph = 0.0000 eV per atom
energy = -8.7095 eV/atom
E_form = 0.5944 eV per atom

abc: 6.5950 6.5950 6.5950
angles: 90.00 90.00 90.00
Last column: nearest neighbours and their distance in Å.
Space group Fm-3m (No. 225)
Inequivalent atoms, fractional coordinates:
Hf  0.0000  0.0000  0.0000 [4 per cell]  8 Re 2.86
Tl  0.0000  0.0000  0.5000 [4 per cell]  8 Re 2.86
Re  0.2500  0.2500  0.2500 [8 per cell]  4 Hf 2.86, 4 Tl 2.86

No. 11
The following is a PBE calculation of Ba3Sr2CaTe6 after structural relaxation, from Alexandria.

Summary:
energy = -4.2351 eV/atom

abc: 21.1273 4.8456 9.6976
angles: 90.00 103.31 90.00
Last column: nearest neighbours and their distance in Å.
Space group C2/m (No. 12)
Inequivalent atoms, fractional coordinates:
Ba  0.0000  0.0000  0.0000 [2 per cell]  6 Te 3.49-3.55
Ba  0.1673  0.5000  0.3339 [4 per cell]  6 Te 3.49-3.55
Sr  0.1655  0.5000  0.8313 [4 per cell]  6 Te 3.36-3.39
Ca  0.0000  0.0000  0.5000 [2 per cell]  6 Te 3.29-3.31
Te  0.0022  0.5000  0.7336 [4 per cell]  2 Ca 3.31, 1 Sr 3.36, 3 Ba 3.49-3.55
Te  0.1602  0.0000  0.5884 [4 per cell]  1 Ca 3.29, 2 Sr 3.36, 3 Ba 3.49-3.55
Te  0.1698  0.0000  0.0754 [4 per cell]  3 Sr 3.37-3.39, 3 Ba 3.49-3.50

No. 12
The following is a PBE calculation of MnCu2Br8 after structural relaxation, from Alexandria.

Summary:
energy = -3.1451 eV/atom

abc: 11.1223 11.0513 6.4036
angles: 90.00 107.17 90.00
Last column: nearest neighbours and their distance in Å.
Space group C2/m (No. 12)
Inequivalent atoms, fractional coordinates:
Mn  0.0000  0.0000  0.0000 [2 per cell]  6 Br 2.45-2.63
Cu  0.1982  0.0000  0.6767 [4 per cell]  4 Br 2.34-2.46
Br  0.0782  0.5000  0.1941 [4 per cell]  1 Cu 2.38, 1 Br 2.58
Br  0.0893  0.1582  0.8214 [8 per cell]  1 Mn 2.45, 1 Cu 2.46
Br  0.2129  0.0000  0.3190 [4 per cell]  1 Cu 2.34